Entry from the Alexandria database: crystalline BeAg2W2 at its relaxed geometry (PBE).

abc: 5.930 5.930 4.705
angles: 90.00 90.00 90.00
Sites, in units of the cell vectors:
Be1 0.000 0.000 0.000
Be2 0.500 0.500 0.000
Ag1 0.164 0.336 0.500
Ag2 0.336 0.836 0.500
Ag3 0.664 0.164 0.500
Ag4 0.836 0.664 0.500
W1 0.150 0.650 0.000
W2 0.350 0.150 0.000
W3 0.650 0.850 0.000
W4 0.850 0.350 0.000

Summary:
DFT formation energy	0.9612	eV per atom
magnetic moment	0.000	μB/f.u.
crystal system	tetragonal
DFT total energy	-6.106	eV/atom